{
  "formula": "PmNdAl2Ga2",
  "functional": "PBE-GGA",
  "state": "optimized geometry",
  "e_form_mev_per_atom": -596.2,
  "space_group": "P-3m1",
  "final_energy_ev_per_atom": -4.44,
  "cell": [[-2.276, -2.825, -2.368], [0.973, -0.917, 4.121], [-7.220, 3.697, 2.528]],
  "species": ["Pm", "Al", "Al", "Ga", "Ga", "Nd"],
  "frac_coords": [[0.000, 0.000, 0.500], [0.333, 0.667, 0.748], [0.667, 0.333, 0.252], [0.667, 0.333, 0.748], [0.333, 0.667, 0.252], [0.000, 0.000, 0.000]]
}